DFT (PBE) results for a geometry-optimized PmCd2Pd2 structure.

a = 4.8461 Å, b = 4.8461 Å, c = 15.2498 Å
α = 90.00°, β = 90.00°, γ = 120.00°
Space group R-3m (No. 166, hexagonal axes)
Asymmetric unit:
Pm 0.0000 0.0000 0.0000 (multiplicity 3)
Cd 0.0000 0.0000 0.2156 (multiplicity 6)
Pd 0.0000 0.0000 0.4102 (multiplicity 6)

## Properties
offset from the most stable computed form: 0.08 eV/f.u.
ΔE_f: -0.525 eV/atom